Entry 1:
# Pu5PdAu | Alexandria via LeMat-Bulk | PBE | optimized geometry
# ΔE_f ... -0.05 eV per atom
# VASP energy ... -80.47 eV/f.u.
# Fermi-level density of states ... 5.058 states/eV per atom
data_Pu5PdAu
_cell_length_a 4.986
_cell_length_b 5.152
_cell_length_c 6.703
_cell_angle_alpha 90.00
_cell_angle_beta 90.00
_cell_angle_gamma 90.00
_space_group_name_H-M_alt 'P m m m'
_space_group_IT_number 47
_space_group_name_Hall '-P 2 2'
loop_
_atom_site_label
_atom_site_type_symbol
_atom_site_fract_x
_atom_site_fract_y
_atom_site_fract_z
Pu1 Pu 0.000 0.000 0.000
Pu2 Pu 0.000 0.500 0.274
Pu3 Pu 0.500 0.000 0.267
Pd1 Pd 0.000 0.000 0.500
Au1 Au 0.500 0.500 0.000


Entry 2:
# PuPd7Au3 | Alexandria via LeMat-Bulk | PBE | optimized geometry
# ΔE_f ... -0.02 eV per atom
# VASP energy ... -60.74 eV/f.u.
# Fermi-level density of states ... 1.321 states/eV per atom
data_PuPd7Au3
_cell_length_a 9.201
_cell_length_b 9.539
_cell_length_c 5.147
_cell_angle_alpha 90.00
_cell_angle_beta 114.91
_cell_angle_gamma 90.00
_space_group_name_H-M_alt 'C 1 2/m 1'
_space_group_IT_number 12
_space_group_name_Hall '-C 2y'
loop_
_atom_site_label
_atom_site_type_symbol
_atom_site_fract_x
_atom_site_fract_y
_atom_site_fract_z
Pu1 Pu 0.000 0.000 0.000
Pd1 Pd 0.000 0.000 0.500
Pd2 Pd 0.174 0.260 0.176
Pd3 Pd 0.208 0.500 0.564
Au1 Au 0.000 0.282 0.500
Au2 Au 0.000 0.500 0.000


Entry 3:
# PuPd14Au | Alexandria via LeMat-Bulk | PBE | optimized geometry
# ΔE_f ... -0.16 eV per atom
# VASP energy ... -92.83 eV/f.u.
# Fermi-level density of states ... 2.277 states/eV per atom
data_PuPd14Au
_cell_length_a 5.696
_cell_length_b 5.696
_cell_length_c 7.948
_cell_angle_alpha 90.00
_cell_angle_beta 90.00
_cell_angle_gamma 90.00
_space_group_name_H-M_alt 'P 4/m m m'
_space_group_IT_number 123
_space_group_name_Hall '-P 4 2'
loop_
_atom_site_label
_atom_site_type_symbol
_atom_site_fract_x
_atom_site_fract_y
_atom_site_fract_z
Pu1 Pu 0.000 0.000 0.000
Pd1 Pd 0.000 0.000 0.500
Pd2 Pd 0.000 0.500 0.000
Pd3 Pd 0.000 0.500 0.500
Pd4 Pd 0.250 0.250 0.254
Pd5 Pd 0.500 0.500 0.500
Au1 Au 0.500 0.500 0.000


Entry 4:
# Pu2Pd6Au | Alexandria via LeMat-Bulk | PBE | optimized geometry
# ΔE_f ... -0.28 eV per atom
# VASP energy ... -65.65 eV/f.u.
# Fermi-level density of states ... 2.144 states/eV per atom
data_Pu2Pd6Au
_cell_length_a 7.238
_cell_length_b 2.926
_cell_length_c 7.802
_cell_angle_alpha 90.00
_cell_angle_beta 99.01
_cell_angle_gamma 90.00
_space_group_name_H-M_alt 'P 1 m 1'
_space_group_IT_number 6
_space_group_name_Hall 'P -2y'
loop_
_atom_site_label
_atom_site_type_symbol
_atom_site_fract_x
_atom_site_fract_y
_atom_site_fract_z
Pu1 Pu 0.000 0.000 0.000
Pu2 Pu 0.302 0.000 0.636
Pd1 Pd 0.309 0.000 0.276
Pd2 Pd 0.354 0.500 0.976
Pd3 Pd 0.663 0.500 0.814
Pd4 Pd 0.670 0.000 0.137
Pd5 Pd 0.909 0.000 0.633
Pd6 Pd 0.989 0.500 0.338
Au1 Au 0.615 0.500 0.443


Entry 5:
# PuPd4Au8 | Alexandria via LeMat-Bulk | PBE | optimized geometry
# ΔE_f ... -0.19 eV per atom
# VASP energy ... -63.75 eV/f.u.
# Fermi-level density of states ... 1.724 states/eV per atom
data_PuPd4Au8
_cell_length_a 9.295
_cell_length_b 9.295
_cell_length_c 5.619
_cell_angle_alpha 90.00
_cell_angle_beta 90.00
_cell_angle_gamma 90.00
_space_group_name_H-M_alt 'I 4/m m m'
_space_group_IT_number 139
_space_group_name_Hall '-I 4 2'
loop_
_atom_site_label
_atom_site_type_symbol
_atom_site_fract_x
_atom_site_fract_y
_atom_site_fract_z
Pu1 Pu 0.000 0.000 0.000
Pd1 Pd 0.250 0.250 0.250
Au1 Au 0.000 0.217 0.500
Au2 Au 0.000 0.339 0.000


Entry 6:
# Pu6PdAu5 | Alexandria via LeMat-Bulk | PBE | optimized geometry
# ΔE_f ... -0.38 eV per atom
# VASP energy ... -112.16 eV/f.u.
# Fermi-level density of states ... 3.868 states/eV per atom
data_Pu6PdAu5
_cell_length_a 4.736
_cell_length_b 8.253
_cell_length_c 14.226
_cell_angle_alpha 90.00
_cell_angle_beta 90.00
_cell_angle_gamma 90.00
_space_group_name_H-M_alt 'I m m m'
_space_group_IT_number 71
_space_group_name_Hall '-I 2 2'
loop_
_atom_site_label
_atom_site_type_symbol
_atom_site_fract_x
_atom_site_fract_y
_atom_site_fract_z
Pu1 Pu 0.000 0.242 0.000
Pu2 Pu 0.000 0.254 0.335
Pd1 Pd 0.000 0.500 0.500
Au1 Au 0.000 0.000 0.168
Au2 Au 0.000 0.000 0.500
Au3 Au 0.000 0.500 0.165


Entry 7:
# PuPd3Au6 | Alexandria via LeMat-Bulk | PBE | optimized geometry
# ΔE_f ... -0.18 eV per atom
# VASP energy ... -51.35 eV/f.u.
# Fermi-level density of states ... 2.044 states/eV per atom
data_PuPd3Au6
_cell_length_a 6.887
_cell_length_b 7.062
_cell_length_c 9.229
_cell_angle_alpha 90.00
_cell_angle_beta 121.64
_cell_angle_gamma 90.00
_space_group_name_H-M_alt 'P 1 21/c 1'
_space_group_IT_number 14
_space_group_name_Hall '-P 2ybc'
loop_
_atom_site_label
_atom_site_type_symbol
_atom_site_fract_x
_atom_site_fract_y
_atom_site_fract_z
Pu1 Pu 0.000 0.000 0.000
Pd1 Pd 0.242 0.183 0.446
Pd2 Pd 0.500 0.000 0.000
Au1 Au 0.133 0.061 0.676
Au2 Au 0.255 0.688 0.845
Au3 Au 0.491 0.152 0.286


Entry 8:
# PuPd8Au2 | Alexandria via LeMat-Bulk | PBE | optimized geometry
# ΔE_f ... -0.27 eV per atom
# VASP energy ... -65.42 eV/f.u.
# Fermi-level density of states ... 1.050 states/eV per atom
data_PuPd8Au2
_cell_length_a 14.499
_cell_length_b 4.128
_cell_length_c 6.344
_cell_angle_alpha 90.00
_cell_angle_beta 104.94
_cell_angle_gamma 90.00
_space_group_name_H-M_alt 'C 1 2/m 1'
_space_group_IT_number 12
_space_group_name_Hall '-C 2y'
loop_
_atom_site_label
_atom_site_type_symbol
_atom_site_fract_x
_atom_site_fract_y
_atom_site_fract_z
Pu1 Pu 0.000 0.000 0.000
Pd1 Pd 0.045 0.500 0.726
Pd2 Pd 0.090 0.000 0.456
Pd3 Pd 0.136 0.500 0.182
Pd4 Pd 0.181 0.000 0.910
Au1 Au 0.227 0.500 0.640


Entry 9:
# PuPd3Au3 | Alexandria via LeMat-Bulk | PBE | optimized geometry
# ΔE_f ... -0.24 eV per atom
# VASP energy ... -41.44 eV/f.u.
# Fermi-level density of states ... 2.277 states/eV per atom
data_PuPd3Au3
_cell_length_a 9.100
_cell_length_b 9.444
_cell_length_c 6.259
_cell_angle_alpha 90.00
_cell_angle_beta 90.00
_cell_angle_gamma 90.00
_space_group_name_H-M_alt 'C m m m'
_space_group_IT_number 65
_space_group_name_Hall '-C 2 2'
loop_
_atom_site_label
_atom_site_type_symbol
_atom_site_fract_x
_atom_site_fract_y
_atom_site_fract_z
Pu1 Pu 0.226 0.000 0.000
Pd1 Pd 0.000 0.500 0.272
Pd2 Pd 0.250 0.250 0.257
Au1 Au 0.000 0.228 0.500
Au2 Au 0.000 0.259 0.000
Au3 Au 0.215 0.000 0.500


Entry 10:
# PuPdAu2 | Alexandria via LeMat-Bulk | PBE | optimized geometry
# ΔE_f ... -0.42 eV per atom
# VASP energy ... -27.74 eV/f.u.
# Fermi-level density of states ... 4.053 states/eV per atom
data_PuPdAu2
_cell_length_a 15.708
_cell_length_b 7.830
_cell_length_c 5.414
_cell_angle_alpha 90.00
_cell_angle_beta 90.00
_cell_angle_gamma 90.00
_space_group_name_H-M_alt 'P n m a'
_space_group_IT_number 62
_space_group_name_Hall '-P 2ac 2n'
loop_
_atom_site_label
_atom_site_type_symbol
_atom_site_fract_x
_atom_site_fract_y
_atom_site_fract_z
Pu1 Pu 0.107 0.250 0.235
Pu2 Pu 0.142 0.750 0.457
Pd1 Pd 0.070 0.750 0.965
Pd2 Pd 0.179 0.250 0.731
Au1 Au 0.032 0.055 0.727
Au2 Au 0.218 0.555 0.939


Entry 11:
# PuPd6Au2 | Alexandria via LeMat-Bulk | PBE | optimized geometry
# ΔE_f ... -0.14 eV per atom
# VASP energy ... -53.33 eV/f.u.
# Fermi-level density of states ... 1.677 states/eV per atom
data_PuPd6Au2
_cell_length_a 12.050
_cell_length_b 9.900
_cell_length_c 5.421
_cell_angle_alpha 90.00
_cell_angle_beta 99.15
_cell_angle_gamma 90.00
_space_group_name_H-M_alt 'C 1 2/c 1'
_space_group_IT_number 15
_space_group_name_Hall '-C 2yc'
loop_
_atom_site_label
_atom_site_type_symbol
_atom_site_fract_x
_atom_site_fract_y
_atom_site_fract_z
Pu1 Pu 0.000 0.102 0.250
Pd1 Pd 0.011 0.364 0.506
Pd2 Pd 0.115 0.150 0.798
Pd3 Pd 0.183 0.267 0.281
Au1 Au 0.200 0.455 0.863


Entry 12:
# PuPd2Au10 | Alexandria via LeMat-Bulk | PBE | optimized geometry
# ΔE_f ... -0.14 eV per atom
# VASP energy ... -59.37 eV/f.u.
# Fermi-level density of states ... 1.633 states/eV per atom
data_PuPd2Au10
_cell_length_a 5.636
_cell_length_b 13.111
_cell_length_c 13.513
_cell_angle_alpha 90.00
_cell_angle_beta 90.00
_cell_angle_gamma 90.00
_space_group_name_H-M_alt 'F m m m'
_space_group_IT_number 69
_space_group_name_Hall '-F 2 2'
loop_
_atom_site_label
_atom_site_type_symbol
_atom_site_fract_x
_atom_site_fract_y
_atom_site_fract_z
Pu1 Pu 0.000 0.000 0.000
Pd1 Pd 0.250 0.250 0.000
Au1 Au 0.000 0.108 0.394
Au2 Au 0.000 0.175 0.167
Au3 Au 0.250 0.000 0.250